Material: Sc2CdBr
Method: DFT, GGA-PBE
State: optimized geometry

abc: 7.020 7.821 3.286
angles: 90.00 90.00 90.00
Space group Cmmm (No. 65)
Unique sites:
Sc 0.250 0.250 0.000 [4 per cell]
Cd 0.000 0.000 0.500 [2 per cell]
Br 0.000 0.500 0.500 [2 per cell]

Summary:
* DOS(E_F): 4.164 states/eV/f.u.
* ΔE to the lowest computed polymorph: 174 meV per atom
* formation energy (no corrections): -0.324 eV/atom